# Ca2As3Pd9 PBE relaxed
data_Ca2As3Pd9
_chemical_formula_sum 'Ca8 As12 Pd36'
_cell_length_a 13.588
_cell_length_b 7.834
_cell_length_c 10.077
_cell_angle_alpha 90.00
_cell_angle_beta 116.20
_cell_angle_gamma 90.00
_symmetry_space_group_name_H-M 'C 1 2/c 1'
_symmetry_Int_Tables_number 15
loop_
_symmetry_equiv_pos_as_xyz
'x,y,z'
'-x,-y,-z'
'-x,y,-z+1/2'
'x,-y,z+1/2'
'x+1/2,y+1/2,z'
'-x+1/2,-y+1/2,-z'
'-x+1/2,y+1/2,-z+1/2'
'x+1/2,-y+1/2,z+1/2'
loop_
_atom_site_label
_atom_site_fract_x
_atom_site_fract_y
_atom_site_fract_z
Ca1 0.171 0.088 0.248
As1 0.087 0.236 0.498
As2 0.250 0.250 0.000
Pd1 0.000 0.370 0.250
Pd2 0.057 0.071 0.920
Pd3 0.097 0.410 0.035
Pd4 0.105 0.317 0.745
Pd5 0.230 0.412 0.429
# energy of formation from the pure elements: -58.0 kJ per mole of atoms